14
Lattice="4.2352 -7.3464 0.0000 4.2352 7.3464 0.0000 0.0000 0.0000 4.7705" Properties=species:S:1:pos:R:3 comment="GGA-PBE Co3Se3Br, relaxed" formation_energy_uncorrected_ev_per_atom=-0.03 pbc="T T T"
Co 2.0924 1.2129 3.5779
Co 4.2352 4.9279 3.5779
Co 2.0924 -1.2129 1.1926
Co 6.3781 1.2129 3.5779
Co 4.2352 -4.9279 1.1926
Co 6.3781 -1.2129 1.1926
Se 1.8504 1.0724 1.1926
Se 4.2352 5.2070 1.1926
Se 1.8504 -1.0724 3.5779
Se 6.6201 1.0724 1.1926
Se 4.2352 -5.2070 3.5779
Se 6.6201 -1.0724 3.5779
Br 4.2352 2.4520 3.5779
Br 4.2352 -2.4520 1.1926